Entry 1:
VASP calculation (PBE-GGA) on an optimized crystal structure of InPt2Cl.

Values from the calculation:
Uncorrected formation energy ... 23.7 meV per atom
Total magnetic moment ... 0.000 μB/f.u.
Mass density ... 11.73 g/cm3
Calculated total energy ... -4.143 eV per atom
Density of states at the Fermi level ... 4.733 states/eV per cell
Energy relative to the lowest polymorph listed for this composition ... 129 meV/atom

Lattice parameters (Å, degrees): 2.960 4.244 12.181 90.00 90.00 90.00
Space group Imm2 (No. 44)
Asymmetric unit:
In 0.000 0.000 0.000 [2 per cell]
Pt 0.000 0.000 0.411 [2 per cell]
Pt 0.000 0.500 0.706 [2 per cell]
Cl 0.000 0.500 0.208 [2 per cell]

***

Entry 2:
VASP calculation (PBE-GGA) on an optimized crystal structure of KSmP3HO10.

Values from the calculation:
Total magnetic moment ... 0.000 μB/f.u.
Mass density ... 3.33 g/cm3
Calculated total energy ... -7.104 eV per atom
Density of states at the Fermi level ... 0.000 states/eV per cell

Lattice parameters (Å, degrees): 7.042 7.878 8.665 74.26 73.44 82.42
Space group P-1 (No. 2)
Asymmetric unit:
K 0.209 0.226 0.036 [2 per cell]
Sm 0.226 0.131 0.511 [2 per cell]
P 0.148 0.543 0.636 [2 per cell]
P 0.327 0.736 0.812 [2 per cell]
P 0.330 0.810 0.342 [2 per cell]
H 0.314 0.711 0.076 [2 per cell]
O 0.043 0.345 0.339 [2 per cell]
O 0.135 0.928 0.372 [2 per cell]
O 0.142 0.346 0.669 [2 per cell]
O 0.195 0.896 0.756 [2 per cell]
O 0.254 0.657 0.005 [2 per cell]
O 0.278 0.569 0.753 [2 per cell]
O 0.282 0.608 0.449 [2 per cell]
O 0.415 0.800 0.164 [2 per cell]
O 0.451 0.246 0.247 [2 per cell]
O 0.466 0.874 0.422 [2 per cell]

***

Entry 3:
VASP calculation (PBE-GGA) on an optimized crystal structure of LiDyAsPd.

Values from the calculation:
Total magnetic moment ... 0.000 μB/f.u.
Energy of formation ... -0.811 eV per atom
Mass density ... 7.67 g/cm3
Calculated total energy ... -4.900 eV per atom
Density of states at the Fermi level ... 4.948 states/eV per cell

Lattice parameters (Å, degrees): 6.722 6.722 6.722 90.00 90.00 90.00
Space group F-43m (No. 216)
Asymmetric unit:
Li 0.000 0.000 0.000 [4 per cell]
Dy 0.000 0.000 0.500 [4 per cell]
As 0.250 0.250 0.750 [4 per cell]
Pd 0.250 0.250 0.250 [4 per cell]

***

Entry 4:
VASP calculation (PBE-GGA) on an optimized crystal structure of TaSe2BrO8.

Values from the calculation:
Uncorrected formation energy ... -938.8 meV per atom
Total magnetic moment ... 0.000 μB/f.u.
Mass density ... 3.92 g/cm3
Calculated total energy ... -5.952 eV per atom
Density of states at the Fermi level ... 10.360 states/eV per cell

Lattice parameters (Å, degrees): 8.824 5.563 9.479 90.00 95.77 90.00
Space group C2/m (No. 12)
Asymmetric unit:
Ta 0.000 0.000 0.000 [2 per cell]
Se 0.176 0.500 0.196 [4 per cell]
Br 0.000 0.000 0.500 [2 per cell]
O 0.055 0.251 0.146 [8 per cell]
O 0.209 0.000 0.650 [4 per cell]
O 0.212 0.000 0.947 [4 per cell]

***

Entry 5:
VASP calculation (PBE-GGA) on an optimized crystal structure of Ca2MgTc.

Values from the calculation:
Total magnetic moment ... 1.136 μB/f.u.
Energy of formation ... 0.544 eV per atom
Mass density ... 3.26 g/cm3
Calculated total energy ... -3.447 eV per atom
Density of states at the Fermi level ... 10.391 states/eV per cell

Lattice parameters (Å, degrees): 3.3542 3.3542 31.7787 90.00 90.00 120.00
Space group R3m (No. 160, hexagonal axes)
Asymmetric unit:
Ca 0.0000 0.0000 0.0000 [3 per cell]
Ca 0.0000 0.0000 0.2261 [3 per cell]
Mg 0.0000 0.0000 0.7587 [3 per cell]
Tc 0.0000 0.0000 0.4889 [3 per cell]

***

Entry 6:
VASP calculation (PBE-GGA) on an optimized crystal structure of NbIn2IrCl.

Values from the calculation:
Uncorrected formation energy ... 706.6 meV per atom
Total magnetic moment ... 0.409 μB/f.u.
Mass density ... 6.00 g/cm3
Calculated total energy ... -4.544 eV per atom
Density of states at the Fermi level ... 6.119 states/eV per cell

Lattice parameters (Å, degrees): 5.722 5.722 4.647 90.00 90.00 90.00
Space group P4/mmm (No. 123)
Asymmetric unit:
Nb 0.000 0.000 0.000 [1 per cell]
In 0.000 0.500 0.000 [2 per cell]
Ir 0.000 0.000 0.500 [1 per cell]
Cl 0.500 0.500 0.500 [1 per cell]

***

Entry 7:
VASP calculation (PBE-GGA) on an optimized crystal structure of YSbO4.

Values from the calculation:
Uncorrected formation energy ... -2385.9 meV per atom
Total magnetic moment ... 0.000 μB/f.u.
Mass density ... 5.88 g/cm3
Calculated total energy ... -7.456 eV per atom
Density of states at the Fermi level ... 0.000 states/eV per cell

Lattice parameters (Å, degrees): 7.680 5.400 7.574 90.00 98.92 90.00
Space group P2_1/c (No. 14)
Asymmetric unit:
Y 0.146 0.225 0.389 [4 per cell]
Sb 0.337 0.732 0.193 [4 per cell]
O 0.114 0.524 0.175 [4 per cell]
O 0.177 0.011 0.120 [4 per cell]
O 0.329 0.619 0.939 [4 per cell]
O 0.433 0.094 0.807 [4 per cell]

***

Entry 8:
VASP calculation (PBE-GGA) on an optimized crystal structure of CsUIn2Br8.

Values from the calculation:
Uncorrected formation energy ... -1143.1 meV per atom
Total magnetic moment ... 0.954 μB/f.u.
Mass density ... 3.67 g/cm3
Calculated total energy ... -3.727 eV per atom

Lattice parameters (Å, degrees): 7.016 7.851 10.182 90.16 90.02 91.97
Space group P-1 (No. 2)
Asymmetric unit:
Cs 0.000 0.000 0.000 [1 per cell]
U 0.000 0.000 0.500 [1 per cell]
In 0.499 0.499 0.780 [2 per cell]
Br 0.139 0.792 0.312 [2 per cell]
Br 0.140 0.793 0.688 [2 per cell]
Br 0.323 0.191 0.500 [2 per cell]
Br 0.441 0.256 0.000 [2 per cell]

***

Entry 9:
VASP calculation (PBE-GGA) on an optimized crystal structure of Ce8Os3SeCl4.

Values from the calculation:
Uncorrected formation energy ... -1018.2 meV per atom
Total magnetic moment ... 6.474 μB/f.u.
Mass density ... 7.68 g/cm3
Calculated total energy ... -6.770 eV per atom
Density of states at the Fermi level ... 125.263 states/eV per cell

Lattice parameters (Å, degrees): 8.2030 8.2030 21.2875 90.00 90.00 120.00
Space group R-3m (No. 166, hexagonal axes)
Asymmetric unit:
Ce 0.0000 0.0000 0.2368 [6 per cell]
Ce 0.0158 0.5079 0.7605 [18 per cell]
Os 0.0000 0.5000 0.5000 [9 per cell]
Se 0.0000 0.0000 0.5000 [3 per cell]
Cl 0.0000 0.0000 0.0000 [3 per cell]
Cl 0.0000 0.5000 0.0000 [9 per cell]

***

Entry 10:
VASP calculation (PBE-GGA) on an optimized crystal structure of SmSiSe3.

Values from the calculation:
Uncorrected formation energy ... -1147.6 meV per atom
Total magnetic moment ... 0.000 μB/f.u.
Mass density ... 5.43 g/cm3
Calculated total energy ... -5.267 eV per atom
Density of states at the Fermi level ... 0.000 states/eV per cell
Energy relative to the lowest polymorph listed for this composition ... 0 meV/atom

Lattice parameters (Å, degrees): 6.879 7.719 11.538 90.00 123.97 90.00
Space group P2_1/c (No. 14)
Asymmetric unit:
Sm 0.211 0.126 0.251 [4 per cell]
Si 0.143 0.600 0.066 [4 per cell]
Se 0.078 0.178 0.932 [4 per cell]
Se 0.285 0.689 0.937 [4 per cell]
Se 0.418 0.023 0.774 [4 per cell]

***

Entry 11:
VASP calculation (PBE-GGA) on an optimized crystal structure of MgRe4Br.

Values from the calculation:
Uncorrected formation energy ... 955.6 meV per atom
Total magnetic moment ... 0.000 μB/f.u.
Mass density ... 13.39 g/cm3
Calculated total energy ... -7.888 eV per atom
Density of states at the Fermi level ... 18.390 states/eV per cell

Lattice parameters (Å, degrees): 7.497 7.497 7.497 90.00 90.00 90.00
Space group F-43m (No. 216)
Asymmetric unit:
Mg 0.000 0.000 0.000 [4 per cell]
Re 0.124 0.124 0.624 [16 per cell]
Br 0.250 0.250 0.250 [4 per cell]

***

Entry 12:
VASP calculation (PBE-GGA) on an optimized crystal structure of NaAg3Sb.

Values from the calculation:
Uncorrected formation energy ... 214.9 meV per atom
Total magnetic moment ... 0.000 μB/f.u.
Mass density ... 5.20 g/cm3
Calculated total energy ... -2.584 eV per atom
Density of states at the Fermi level ... 2.454 states/eV per cell
Energy relative to the lowest polymorph listed for this composition ... 105 meV/atom

Lattice parameters (Å, degrees): 5.308 5.308 5.308 90.00 90.00 90.00
Space group Pm-3m (No. 221)
Asymmetric unit:
Na 0.000 0.000 0.000 [1 per cell]
Ag 0.000 0.500 0.500 [3 per cell]
Sb 0.500 0.500 0.500 [1 per cell]

***

Entry 13:
VASP calculation (PBE-GGA) on an optimized crystal structure of Sr2TiMn.

Values from the calculation:
Total magnetic moment ... 0.001 μB/f.u.
Energy of formation ... 1.327 eV per atom
Mass density ... 4.35 g/cm3
Calculated total energy ... -3.780 eV per atom
Density of states at the Fermi level ... 32.336 states/eV per cell
Energy relative to the lowest polymorph listed for this composition ... 653 meV/atom

Lattice parameters (Å, degrees): 7.514 7.514 7.514 90.00 90.00 90.00
Space group Fm-3m (No. 225)
Asymmetric unit:
Sr 0.250 0.250 0.250 [8 per cell]
Ti 0.000 0.000 0.000 [4 per cell]
Mn 0.000 0.000 0.500 [4 per cell]

***

Entry 14:
VASP calculation (PBE-GGA) on an optimized crystal structure of InTcTe2.

Values from the calculation:
Uncorrected formation energy ... 57.4 meV per atom
Total magnetic moment ... 0.000 μB/f.u.
Mass density ... 7.31 g/cm3
Calculated total energy ... -4.790 eV per atom
Density of states at the Fermi level ... 6.879 states/eV per cell

Lattice parameters (Å, degrees): 10.381 3.336 6.690 90.00 113.48 90.00
Space group Cm (No. 8)
Asymmetric unit:
In 0.000 0.000 0.000 [2 per cell]
Tc 0.219 0.500 0.997 [2 per cell]
Te 0.201 0.000 0.674 [2 per cell]
Te 0.375 0.000 0.311 [2 per cell]

***

Entry 15:
VASP calculation (PBE-GGA) on an optimized crystal structure of Ca6Tb.

Values from the calculation:
Total magnetic moment ... 0.000 μB/f.u.
Energy of formation ... 1.199 eV per atom
Mass density ... 1.89 g/cm3
Calculated total energy ... -1.178 eV per atom
Density of states at the Fermi level ... 24.480 states/eV per cell

Lattice parameters (Å, degrees): 8.887 8.887 8.887 90.00 90.00 90.00
Space group Im-3m (No. 229)
Asymmetric unit:
Ca 0.000 0.250 0.500 [12 per cell]
Tb 0.000 0.000 0.000 [2 per cell]

***

Entry 16:
VASP calculation (PBE-GGA) on an optimized crystal structure of ZrTa5C6.

Values from the calculation:
Total magnetic moment ... 0.000 μB/f.u.
Energy of formation ... -0.632 eV per atom
Mass density ... 12.83 g/cm3
Calculated total energy ... -10.894 eV per atom
Density of states at the Fermi level ... 7.203 states/eV per cell

Lattice parameters (Å, degrees): 5.538 9.580 5.531 90.00 109.60 90.00
Space group C2/m (No. 12)
Asymmetric unit:
Zr 0.000 0.000 0.000 [2 per cell]
Ta 0.000 0.166 0.500 [4 per cell]
Ta 0.000 0.333 0.000 [4 per cell]
Ta 0.000 0.500 0.500 [2 per cell]
C 0.244 0.500 0.252 [4 per cell]
C 0.245 0.330 0.744 [8 per cell]

***

Entry 17:
VASP calculation (PBE-GGA) on an optimized crystal structure of HoUAlO6.

Values from the calculation:
Uncorrected formation energy ... -3183.1 meV per atom
Total magnetic moment ... 0.000 μB/f.u.
Mass density ... 7.48 g/cm3
Calculated total energy ... -8.667 eV per atom
Density of states at the Fermi level ... 0.000 states/eV per cell

Lattice parameters (Å, degrees): 5.2774 5.2774 9.6827 90.00 90.00 120.00
Space group P-31c (No. 163)
Asymmetric unit:
Ho 0.0000 0.0000 0.0000 [2 per cell]
U 0.3333 0.6667 0.2500 [2 per cell]
Al 0.3333 0.6667 0.7500 [2 per cell]
O 0.0221 0.3641 0.6394 [12 per cell]

***

Entry 18:
VASP calculation (PBE-GGA) on an optimized crystal structure of CoCl.

Values from the calculation:
Uncorrected formation energy ... 86.6 meV per atom
Total magnetic moment ... 2.002 μB/f.u.
Mass density ... 4.36 g/cm3
Calculated total energy ... -4.390 eV per atom
Density of states at the Fermi level ... 6.234 states/eV per cell

Lattice parameters (Å, degrees): 5.240 5.240 5.240 90.00 90.00 90.00
Space group F-43m (No. 216)
Asymmetric unit:
Co 0.000 0.000 0.000 [4 per cell]
Cl 0.250 0.250 0.250 [4 per cell]

***

Entry 19:
VASP calculation (PBE-GGA) on an optimized crystal structure of Tm2CoC2.

Values from the calculation:
Total magnetic moment ... 0.001 μB/f.u.
Energy of formation ... -0.254 eV per atom
Mass density ... 9.59 g/cm3
Calculated total energy ... -7.153 eV per atom
Density of states at the Fermi level ... 17.002 states/eV per cell
Energy relative to the lowest polymorph listed for this composition ... 0 meV/atom

Lattice parameters (Å, degrees): 6.210 4.931 9.523 90.00 90.00 90.00
Space group Pnma (No. 62)
Asymmetric unit:
Tm 0.020 0.250 0.217 [4 per cell]
Tm 0.178 0.250 0.556 [4 per cell]
Co 0.229 0.250 0.858 [4 per cell]
C 0.037 0.750 0.237 [4 per cell]
C 0.184 0.750 0.549 [4 per cell]

***

Entry 20:
VASP calculation (PBE-GGA) on an optimized crystal structure of Sr3LaF8.

Values from the calculation:
Uncorrected formation energy ... -3801.3 meV per atom
Total magnetic moment ... 0.951 μB/f.u.
Mass density ... 4.50 g/cm3
Calculated total energy ... -5.880 eV per atom
Density of states at the Fermi level ... 5.740 states/eV per cell

Lattice parameters (Å, degrees): 5.888 5.888 5.888 90.00 90.00 90.00
Space group Pm-3m (No. 221)
Asymmetric unit:
Sr 0.000 0.000 0.500 [3 per cell]
La 0.500 0.500 0.500 [1 per cell]
F 0.250 0.250 0.250 [8 per cell]

***

Entry 21:
VASP calculation (PBE-GGA) on an optimized crystal structure of Rb3Np2AuSe6.

Values from the calculation:
Uncorrected formation energy ... -996.1 meV per atom
Total magnetic moment ... 6.000 μB/f.u.
Mass density ... 6.16 g/cm3
Calculated total energy ... -5.410 eV per atom
Density of states at the Fermi level ... 36.618 states/eV per cell

Lattice parameters (Å, degrees): 7.110 13.470 8.174 90.00 105.29 90.00
Space group C2/m (No. 12)
Asymmetric unit:
Rb 0.000 0.000 0.000 [2 per cell]
Rb 0.000 0.350 0.000 [4 per cell]
Np 0.000 0.167 0.500 [4 per cell]
Au 0.000 0.500 0.500 [2 per cell]
Se 0.241 0.000 0.669 [4 per cell]
Se 0.248 0.191 0.291 [8 per cell]